HoTmTlPb: optimized geometry, PBE.

Calculated values
- E_form (meV per atom) = -316
- DOS(E_F) (states/eV/cell) = 3.97

POSCAR file:
```
HoTmTlPb
1.0
5.376 0.000 0.000
2.688 4.656 0.000
2.688 1.552 4.390
Tl Ho Pb Tm
1 1 1 1
Direct
0.000 0.000 0.000 Tl
0.750 0.750 0.750 Ho
0.500 0.500 0.500 Pb
0.250 0.250 0.250 Tm
```

HoTmTlPb: optimized geometry, PBE.

Calculated values
- E_form (meV per atom) = -354
- DOS(E_F) (states/eV/cell) = 3.02

POSCAR file:
```
HoTmTlPb
1.0
-0.082 4.105 2.822
-3.035 -2.280 3.227
5.030 -2.376 -0.795
Ho Tl Pb Tm
1 1 1 1
Direct
0.250 0.750 0.500 Ho
0.000 0.000 0.000 Tl
0.500 0.500 0.000 Pb
0.750 0.250 0.500 Tm
```

YHoTlPb: optimized geometry, PBE.

Calculated values
- E_form (meV per atom) = -361
- DOS(E_F) (states/eV/cell) = 3.29

POSCAR file:
```
YHoTlPb
1.0
5.404 0.000 0.000
2.702 4.680 0.000
2.702 1.560 4.412
Ho Y Pb Tl
1 1 1 1
Direct
0.250 0.250 0.250 Ho
0.750 0.750 0.750 Y
0.500 0.500 0.500 Pb
0.000 0.000 0.000 Tl
```

| no. | volume (Å³/f.u.) | energy above the most stable polymorph in this dataset (meV per atom) | VASP energy (eV/atom) |
| --- | --- | --- | --- |
| 1 | 109.88 | 37.7 | -4.0971 |
| 2 | 108.67 | 0.0 | -4.1348 |
| 3 | 111.57 | 35.3 | -4.6402 |